1.
Below is Ti7Ga2Pt2 after structural relaxation, with properties calculated at the PBE level.

The value obtained for the magnetization is 0.136 μB per atom. The value obtained for the volume is 18.4 Å³ per atom. The calculation puts the electronic total energy at -6.8039 eV/atom. The density of states at the Fermi level comes out at 1.239 states/eV per atom. The value obtained for the density is 7085 kg/m³.

The structure belongs to space group Cmmm (No. 65); the cell edges are 6.4157, 9.3041 and 6.7903 Å and the angles 90.00°, 90.00° and 90.00°. Symmetry generates all atoms from Ti at (0.0000, 0.0000, 0.0000), Ti at (0.0000, 0.5000, 0.2655), Ti at (0.2500, 0.2500, 0.2946), Ga at (0.0000, 0.2947, 0.0000) and Pt at (0.1977, 0.0000, 0.5000).

2.
Below is Ti4Ga5Pt2 after structural relaxation, with properties calculated at the PBE level.

The value obtained for the magnetization is 0.062 μB per atom. The value obtained for the volume is 16.1 Å³ per atom. The calculation puts the electronic total energy at -5.9437 eV/atom. The density of states at the Fermi level comes out at 0.821 states/eV per atom. The value obtained for the density is 8739 kg/m³.

The structure belongs to space group P2/m (No. 10); the cell edges are 6.8388, 2.8535 and 9.0841 Å and the angles 90.00°, 94.38° and 90.00°. Symmetry generates all atoms from Ti at (0.1701, 0.0000, 0.3907), Ti at (0.2730, 0.0000, 0.9443), Ga at (0.1867, 0.5000, 0.6574), Ga at (0.4457, 0.5000, 0.1967), Ga at (0.5000, 0.5000, 0.5000) and Pt at (0.0657, 0.5000, 0.1447).

3.
Below is TiGa2Pt2 after structural relaxation, with properties calculated at the PBE level.

The value obtained for the magnetization is 0.000 μB per atom. The value obtained for the volume is 16.8 Å³ per atom. The calculation puts the electronic total energy at -5.7340 eV/atom. The density of states at the Fermi level comes out at 0.661 states/eV per atom. The value obtained for the density is 11450 kg/m³.

The structure belongs to space group I4/mmm (No. 139); the cell edges are 3.6579, 3.6579 and 12.5191 Å and the angles 90.00°, 90.00° and 90.00°. Symmetry generates all atoms from Ti at (0.0000, 0.0000, 0.0000), Ga at (0.0000, 0.5000, 0.2500) and Pt at (0.0000, 0.0000, 0.3963).

4.
Below is Ti4Ga5Pt after structural relaxation, with properties calculated at the PBE level.

The value obtained for the magnetization is 0.000 μB per atom. The value obtained for the volume is 17.1 Å³ per atom. The calculation puts the electronic total energy at -5.5463 eV/atom. The density of states at the Fermi level comes out at 0.980 states/eV per atom. The value obtained for the density is 7151 kg/m³.

The structure belongs to space group I4 (No. 79); the cell edges are 7.9644, 7.9644 and 5.3827 Å and the angles 90.00°, 90.00° and 90.00°. Symmetry generates all atoms from Ti at (0.0675, 0.3083, 0.0000), Ga at (0.0000, 0.0000, 0.7635), Ga at (0.0966, 0.2562, 0.4951) and Pt at (0.0000, 0.0000, 0.2260).

5.
Below is Ti3GaPt4 after structural relaxation, with properties calculated at the PBE level.

The value obtained for the magnetization is 0.114 μB per atom. The value obtained for the volume is 15.5 Å³ per atom. The calculation puts the electronic total energy at -7.2007 eV/atom. The density of states at the Fermi level comes out at 0.881 states/eV per atom. The value obtained for the density is 13289 kg/m³.

The structure belongs to space group Pmma (No. 51); the cell edges are 9.2264, 5.5746 and 4.8280 Å and the angles 90.00°, 90.00° and 90.00°. Symmetry generates all atoms from Ti at (0.0000, 0.0000, 0.0000), Ti at (0.2500, 0.0000, 0.3866), Ti at (0.2500, 0.5000, 0.3784), Ga at (0.0000, 0.5000, 0.0000), Pt at (0.0000, 0.2493, 0.5000) and Pt at (0.2500, 0.2488, 0.8788).

6.
Below is TiGaPt after structural relaxation, with properties calculated at the PBE level.

The value obtained for the magnetization is 0.344 μB per atom. The value obtained for the volume is 18.3 Å³ per atom. The calculation puts the electronic total energy at -6.3715 eV/atom. The density of states at the Fermi level comes out at 1.221 states/eV per atom. The value obtained for the density is 9482 kg/m³.

The structure belongs to space group F-43m (No. 216); the cell edges are 6.0280, 6.0280 and 6.0280 Å and the angles 90.00°, 90.00° and 90.00°. Symmetry generates all atoms from Ti at (0.0000, 0.0000, 0.0000), Ga at (0.0000, 0.0000, 0.5000) and Pt at (0.2500, 0.2500, 0.7500).

7.
Below is TiGa2Pt2 after structural relaxation, with properties calculated at the PBE level.

The value obtained for the magnetization is 0.000 μB per atom. The value obtained for the volume is 16.0 Å³ per atom. The calculation puts the electronic total energy at -5.7248 eV/atom. The density of states at the Fermi level comes out at 0.607 states/eV per atom. The value obtained for the density is 12015 kg/m³.

The structure belongs to space group P4/mbm (No. 127); the cell edges are 7.4977, 7.4977 and 2.8395 Å and the angles 90.00°, 90.00° and 90.00°. Symmetry generates all atoms from Ti at (0.0000, 0.0000, 0.0000), Ga at (0.1610, 0.3390, 0.5000) and Pt at (0.1380, 0.6380, 0.0000).

8.
Below is TiGaPt2 after structural relaxation, with properties calculated at the PBE level.

The value obtained for the magnetization is 0.000 μB per atom. The value obtained for the volume is 15.4 Å³ per atom. The calculation puts the electronic total energy at -6.4739 eV/atom. The density of states at the Fermi level comes out at 0.683 states/eV per atom. The value obtained for the density is 13670 kg/m³.

The structure belongs to space group P4/mmm (No. 123); the cell edges are 3.9803, 3.9803 and 3.8932 Å and the angles 90.00°, 90.00° and 90.00°. Symmetry generates all atoms from Ti at (0.0000, 0.0000, 0.0000), Ga at (0.5000, 0.5000, 0.0000) and Pt at (0.0000, 0.5000, 0.5000).

9.
Below is Ti8Ga2Pt after structural relaxation, with properties calculated at the PBE level.

The value obtained for the magnetization is 0.000 μB per atom. The value obtained for the volume is 16.5 Å³ per atom. The calculation puts the electronic total energy at -7.1914 eV/atom. The density of states at the Fermi level comes out at 1.211 states/eV per atom. The value obtained for the density is 6548 kg/m³.

The structure belongs to space group C2/m (No. 12); the cell edges are 13.8603, 4.3171 and 6.8011 Å and the angles 90.00°, 116.60° and 90.00°. Symmetry generates all atoms from Ti at (0.0298, 0.0000, 0.2676), Ti at (0.0886, 0.5000, 0.9421), Ti at (0.1690, 0.0000, 0.7375), Ti at (0.1709, 0.5000, 0.4087), Ga at (0.1952, 0.0000, 0.1548) and Pt at (0.0000, 0.5000, 0.5000).

10.
Below is Ti4Ga2Pt after structural relaxation, with properties calculated at the PBE level.

The value obtained for the magnetization is 0.079 μB per atom. The value obtained for the volume is 21.2 Å³ per atom. The calculation puts the electronic total energy at -5.9889 eV/atom. The density of states at the Fermi level comes out at 1.057 states/eV per atom. The value obtained for the density is 5891 kg/m³.

The structure belongs to space group I4/mmm (No. 139); the cell edges are 4.7521, 4.7521 and 13.1310 Å and the angles 90.00°, 90.00° and 90.00°. Symmetry generates all atoms from Ti at (0.0000, 0.0000, 0.1899), Ti at (0.0000, 0.5000, 0.0000), Ga at (0.0000, 0.0000, 0.3847) and Pt at (0.0000, 0.0000, 0.0000).

11.
Below is Ti3Ga4Pt after structural relaxation, with properties calculated at the PBE level.

The value obtained for the magnetization is 0.000 μB per atom. The value obtained for the volume is 16.4 Å³ per atom. The calculation puts the electronic total energy at -5.5885 eV/atom. The density of states at the Fermi level comes out at 0.642 states/eV per atom. The value obtained for the density is 7805 kg/m³.

The structure belongs to space group Immm (No. 71); the cell edges are 2.8718, 8.9338 and 10.2431 Å and the angles 90.00°, 90.00° and 90.00°. Symmetry generates all atoms from Ti at (0.0000, 0.0000, 0.0000), Ti at (0.0000, 0.5000, 0.2392), Ga at (0.0000, 0.2507, 0.3718) and Pt at (0.0000, 0.0000, 0.5000).